A plane-wave DFT calculation with PBE was carried out for a relaxed structure of La2Mg2I.

Energy relative to the elements, uncorrected (meV per atom): -242

Unit cell a=8.3262 b=8.3262 c=5.1661 alpha=90.00 beta=90.00 gamma=90.00
Closest atoms and distances in Å follow each position.
Element x y z (fractional)
I 0.0000 0.0000 0.0000  4 La 3.16
I 0.5000 0.5000 0.0000  4 La 3.16
Mg 0.1355 0.6355 0.5000  1 Mg 3.19, 4 La 3.52
Mg 0.6355 0.8645 0.5000  1 Mg 3.19, 4 La 3.52
Mg 0.8645 0.3645 0.5000  1 Mg 3.19, 4 La 3.52
Mg 0.3645 0.1355 0.5000  1 Mg 3.19, 4 La 3.52
La 0.3483 0.8483 0.0000  2 I 3.16, 4 Mg 3.52
La 0.8483 0.6517 0.0000  2 I 3.16, 4 Mg 3.52
La 0.6517 0.1517 0.0000  2 I 3.16, 4 Mg 3.52
La 0.1517 0.3483 0.0000  2 I 3.16, 4 Mg 3.52